# SiBiSe2

Crystalline SiBiSe2 at its relaxed geometry (PBE, Alexandria).

```
data_SiBiSe2
_chemical_formula_sum 'Si3 Bi3 Se6'
_space_group_name_H-M_alt 'R -3 m'
_space_group_IT_number 166
_space_group_name_Hall '-R 3 2"'
_cell_length_a 3.9991
_cell_length_b 3.9991
_cell_length_c 26.0136
_cell_angle_alpha 90.00
_cell_angle_beta 90.00
_cell_angle_gamma 120.00
loop_
_atom_site_label
_atom_site_fract_x
_atom_site_fract_y
_atom_site_fract_z
_atom_site_occupancy
Si1 0.0000 0.0000 0.0000 1
Bi1 0.0000 0.0000 0.5000 1
Se1 0.0000 0.0000 0.0959 1
```

Properties
total DFT energy (no corrections) = -3.8413 eV per atom
excess energy over the best structure of this formula in the dataset = 362 meV/atom
theoretical density = 5.461 g/cm³
ΔE_f (raw) = 227 meV/atom